(1)
Crystalline ScNbRu2 at its relaxed geometry, computed with GGA-PBEsol.

a = 6.2949 Å, b = 6.2949 Å, c = 6.2949 Å
α = 90.00°, β = 90.00°, γ = 90.00°
Space group Fm-3m (No. 225)
Asymmetric unit:
1 Sc 0.0000 0.0000 0.0000 x4
2 Nb 0.0000 0.0000 0.5000 x4
3 Ru 0.2500 0.2500 0.2500 x8

Computed properties:
Volume, Å³ per cell: 249.4

---

(2)
Crystalline ScNbRu3 at its relaxed geometry, computed with GGA-PBEsol.

a = 4.6262 Å, b = 4.6262 Å, c = 4.6262 Å
α = 90.00°, β = 90.00°, γ = 90.00°
Space group Pm-3m (No. 221)
Asymmetric unit:
1 Sc 0.0000 0.0000 0.0000 x1
2 Nb 0.5000 0.5000 0.5000 x1
3 Ru 0.0000 0.5000 0.5000 x3

Computed properties:
E above lowest polymorph, kcal/mol of atoms: 0.00
Volume, Å³ per cell: 99.0

---

| no. | total magnetic moment (μB/atom) | energy of formation (eV/atom) | density of states at the Fermi level (states/eV per cell) |
| --- | --- | --- | --- |
| 1 | 0.000 | -0.492 | 2.140 |
| 2 | 0.000 | 1.052 | 5.349 |